A | Entry from the Alexandria database: CaMo2Ir after structural relaxation (PBE). Values from VASP.

The structure in Quantum ESPRESSO input format:
```
&SYSTEM
  ibrav = 0, nat = 16, ntyp = 3
/
ATOMIC_SPECIES
Ca 40.08 Ca.upf
Mo 95.94 Mo.upf
Ir 192.22 Ir.upf
CELL_PARAMETERS angstrom
6.4439 0.0000 0.0000
0.0000 6.4439 0.0000
0.0000 0.0000 6.4439
ATOMIC_POSITIONS crystal
Ca 0.0000 0.0000 0.0000
Ca 0.0000 0.5000 0.5000
Ca 0.5000 0.0000 0.5000
Ca 0.5000 0.5000 0.0000
Mo 0.2500 0.2500 0.2500
Mo 0.2500 0.2500 0.7500
Mo 0.2500 0.7500 0.2500
Mo 0.2500 0.7500 0.7500
Mo 0.7500 0.2500 0.2500
Mo 0.7500 0.2500 0.7500
Mo 0.7500 0.7500 0.2500
Mo 0.7500 0.7500 0.7500
Ir 0.0000 0.0000 0.5000
Ir 0.0000 0.5000 0.0000
Ir 0.5000 0.0000 0.0000
Ir 0.5000 0.5000 0.5000
```


B | Entry from the Alexandria database: CaMo2Ir after structural relaxation (PBE). Values from VASP.

The structure in Quantum ESPRESSO input format:
```
&SYSTEM
  ibrav = 0, nat = 4, ntyp = 3
/
ATOMIC_SPECIES
Ca 40.08 Ca.upf
Mo 95.94 Mo.upf
Ir 192.22 Ir.upf
CELL_PARAMETERS angstrom
3.1108 0.0000 0.0000
0.0000 4.5137 0.0000
0.0000 0.0000 4.9050
ATOMIC_POSITIONS crystal
Ca 0.0000 0.0000 0.0000
Mo 0.0000 0.5000 0.5000
Mo 0.5000 0.0000 0.5000
Ir 0.5000 0.5000 0.0000
```


C | Entry from the Alexandria database: CaMo2Ir after structural relaxation (PBE). Values from VASP.

The structure in Quantum ESPRESSO input format:
```
&SYSTEM
  ibrav = 0, nat = 4, ntyp = 3
/
ATOMIC_SPECIES
Ca 40.08 Ca.upf
Mo 95.94 Mo.upf
Ir 192.22 Ir.upf
CELL_PARAMETERS angstrom
4.8590 0.0000 0.0000
0.0000 4.8590 0.0000
0.0000 0.0000 2.8892
ATOMIC_POSITIONS crystal
Ca 0.0000 0.0000 0.0000
Mo 0.0000 0.5000 0.5000
Mo 0.5000 0.0000 0.5000
Ir 0.5000 0.5000 0.0000
```


Which one is most stable, and which one is least stable? B is the most stable of them, while C is the least stable.


A | Entry from the Alexandria database: Ca3MoIr after structural relaxation (PBE). Values from VASP.

The structure in Quantum ESPRESSO input format:
```
&SYSTEM
  ibrav = 0, nat = 5, ntyp = 3
/
ATOMIC_SPECIES
Ca 40.08 Ca.upf
Mo 95.94 Mo.upf
Ir 192.22 Ir.upf
CELL_PARAMETERS angstrom
5.1708 0.0000 0.0000
0.0000 5.1708 0.0000
0.0000 0.0000 5.1708
ATOMIC_POSITIONS crystal
Ca 0.0000 0.0000 0.5000
Ca 0.0000 0.5000 0.0000
Ca 0.5000 0.0000 0.0000
Mo 0.0000 0.0000 0.0000
Ir 0.5000 0.5000 0.5000
```


B | Entry from the Alexandria database: Ca3MoIr after structural relaxation (PBE). Values from VASP.

The structure in Quantum ESPRESSO input format:
```
&SYSTEM
  ibrav = 0, nat = 5, ntyp = 3
/
ATOMIC_SPECIES
Ca 40.08 Ca.upf
Mo 95.94 Mo.upf
Ir 192.22 Ir.upf
CELL_PARAMETERS angstrom
5.4621 0.0000 0.0000
0.0000 5.4621 0.0000
0.0000 0.0000 5.4621
ATOMIC_POSITIONS crystal
Ca 0.0000 0.0000 0.5000
Ca 0.0000 0.5000 0.0000
Ca 0.5000 0.0000 0.0000
Mo 0.5000 0.5000 0.5000
Ir 0.0000 0.0000 0.0000
```


Which one is most stable, and which one is least stable? B is the most stable of them, while A is the least stable.


A | Entry from the Alexandria database: CaIr3N after structural relaxation (PBE). Values from VASP.

The structure in Quantum ESPRESSO input format:
```
&SYSTEM
  ibrav = 0, nat = 5, ntyp = 3
/
ATOMIC_SPECIES
Ca 40.08 Ca.upf
Ir 192.22 Ir.upf
N 14.01 N.upf
CELL_PARAMETERS angstrom
4.9256 0.0000 0.0000
0.0000 4.9256 0.0000
0.0000 0.0000 4.9256
ATOMIC_POSITIONS crystal
Ca 0.0000 0.0000 0.0000
Ir 0.0000 0.0000 0.5000
Ir 0.0000 0.5000 0.0000
Ir 0.5000 0.0000 0.0000
N 0.5000 0.5000 0.5000
```


B | Entry from the Alexandria database: CaIr3N after structural relaxation (PBE). Values from VASP.

The structure in Quantum ESPRESSO input format:
```
&SYSTEM
  ibrav = 0, nat = 5, ntyp = 3
/
ATOMIC_SPECIES
Ca 40.08 Ca.upf
Ir 192.22 Ir.upf
N 14.01 N.upf
CELL_PARAMETERS angstrom
4.1961 0.0000 0.0000
0.0000 4.1961 0.0000
0.0000 0.0000 4.1961
ATOMIC_POSITIONS crystal
Ca 0.0000 0.0000 0.0000
Ir 0.0000 0.5000 0.5000
Ir 0.5000 0.0000 0.5000
Ir 0.5000 0.5000 0.0000
N 0.5000 0.5000 0.5000
```


Which one is most stable, and which one is least stable? B is the most stable of them, while A is the least stable.


A | Entry from the Alexandria database: CaIrS2N after structural relaxation (PBE). Values from VASP.

The structure in Quantum ESPRESSO input format:
```
&SYSTEM
  ibrav = 0, nat = 5, ntyp = 4
/
ATOMIC_SPECIES
Ca 40.08 Ca.upf
Ir 192.22 Ir.upf
S 32.06 S.upf
N 14.01 N.upf
CELL_PARAMETERS angstrom
5.0604 0.0000 0.0000
0.0000 5.0604 0.0000
0.0000 0.0000 4.0232
ATOMIC_POSITIONS crystal
Ca 0.0000 0.0000 0.0000
Ir 0.5000 0.5000 0.5000
S 0.0000 0.5000 0.0000
S 0.5000 0.0000 0.0000
N 0.0000 0.0000 0.5000
```


B | Entry from the Alexandria database: CaIrS2N after structural relaxation (PBE). Values from VASP.

The structure in Quantum ESPRESSO input format:
```
&SYSTEM
  ibrav = 0, nat = 5, ntyp = 4
/
ATOMIC_SPECIES
Ca 40.08 Ca.upf
Ir 192.22 Ir.upf
S 32.06 S.upf
N 14.01 N.upf
CELL_PARAMETERS angstrom
4.9766 0.0000 0.0000
0.0000 4.9766 0.0000
0.0000 0.0000 3.6899
ATOMIC_POSITIONS crystal
Ca 0.0000 0.0000 0.0000
Ir 0.5000 0.5000 0.5000
S 0.0000 0.5000 0.5000
S 0.5000 0.0000 0.5000
N 0.5000 0.5000 0.0000
```


Which one is most stable, and which one is least stable? B is the most stable of them, while A is the least stable.


A | Entry from the Alexandria database: CaIrSeN2 after structural relaxation (PBE). Values from VASP.

The structure in Quantum ESPRESSO input format:
```
&SYSTEM
  ibrav = 0, nat = 5, ntyp = 4
/
ATOMIC_SPECIES
Ca 40.08 Ca.upf
Ir 192.22 Ir.upf
Se 78.96 Se.upf
N 14.01 N.upf
CELL_PARAMETERS angstrom
4.2789 0.0000 0.0000
0.0000 4.2789 0.0000
0.0000 0.0000 5.8899
ATOMIC_POSITIONS crystal
Ca 0.0000 0.0000 0.0000
Ir 0.5000 0.5000 0.5000
Se 0.0000 0.0000 0.5000
N 0.0000 0.5000 0.0000
N 0.5000 0.0000 0.0000
```


B | Entry from the Alexandria database: CaIrSeN2 after structural relaxation (PBE). Values from VASP.

The structure in Quantum ESPRESSO input format:
```
&SYSTEM
  ibrav = 0, nat = 5, ntyp = 4
/
ATOMIC_SPECIES
Ca 40.08 Ca.upf
Ir 192.22 Ir.upf
Se 78.96 Se.upf
N 14.01 N.upf
CELL_PARAMETERS angstrom
3.8894 0.0000 0.0000
0.0000 3.8894 0.0000
0.0000 0.0000 5.5429
ATOMIC_POSITIONS crystal
Ca 0.0000 0.0000 0.0000
Ir 0.5000 0.5000 0.5000
Se 0.5000 0.5000 0.0000
N 0.0000 0.5000 0.5000
N 0.5000 0.0000 0.5000
```


Which one is most stable, and which one is least stable? B is the most stable of them, while A is the least stable.


A | Entry from the Alexandria database: Ca2IrSeN after structural relaxation (PBE). Values from VASP.

The structure in Quantum ESPRESSO input format:
```
&SYSTEM
  ibrav = 0, nat = 5, ntyp = 4
/
ATOMIC_SPECIES
Ca 40.08 Ca.upf
Ir 192.22 Ir.upf
Se 78.96 Se.upf
N 14.01 N.upf
CELL_PARAMETERS angstrom
5.5257 0.0000 0.0000
0.0000 5.5257 0.0000
0.0000 0.0000 3.7464
ATOMIC_POSITIONS crystal
Ca 0.0000 0.5000 0.0000
Ca 0.5000 0.0000 0.0000
Ir 0.0000 0.0000 0.0000
Se 0.5000 0.5000 0.5000
N 0.0000 0.0000 0.5000
```


B | Entry from the Alexandria database: Ca2IrSeN after structural relaxation (PBE). Values from VASP.

The structure in Quantum ESPRESSO input format:
```
&SYSTEM
  ibrav = 0, nat = 5, ntyp = 4
/
ATOMIC_SPECIES
Ca 40.08 Ca.upf
Ir 192.22 Ir.upf
Se 78.96 Se.upf
N 14.01 N.upf
CELL_PARAMETERS angstrom
5.1950 0.0000 0.0000
0.0000 5.1950 0.0000
0.0000 0.0000 3.7451
ATOMIC_POSITIONS crystal
Ca 0.0000 0.5000 0.0000
Ca 0.5000 0.0000 0.0000
Ir 0.0000 0.0000 0.5000
Se 0.5000 0.5000 0.5000
N 0.0000 0.0000 0.0000
```


Which one is most stable, and which one is least stable? B is the most stable of them, while A is the least stable.